ZrGaSb: relaxed, GGA-PBE.

Structure (POSCAR):
```
ZrGaSb
1.0
0.000 3.386 3.386
3.386 0.000 3.386
3.386 3.386 0.000
Zr Ga Sb
1 1 1
direct
0.000 0.000 0.000 Zr
0.750 0.750 0.750 Ga
0.250 0.250 0.250 Sb
```

Electronic total energy in eV per atom: -5.23
Relative energy among the computed polymorphs in eV/atom: 0.000

ZrGaSb: relaxed, GGA-PBE.

Structure (POSCAR):
```
ZrGaSb
1.0
0.000 3.420 3.420
3.420 0.000 3.420
3.420 3.420 0.000
Zr Ga Sb
1 1 1
direct
0.000 0.000 0.000 Zr
0.500 0.500 0.500 Ga
0.750 0.750 0.750 Sb
```

Electronic total energy in eV per atom: -5.07
Relative energy among the computed polymorphs in eV/atom: 0.164

ZrGa2Sb: relaxed, GGA-PBE.

Structure (POSCAR):
```
ZrGa2Sb
1.0
0.000 3.514 3.514
3.514 0.000 3.514
3.514 3.514 0.000
Zr Ga Sb
1 2 1
direct
0.000 0.000 0.000 Zr
0.250 0.250 0.250 Ga
0.500 0.500 0.500 Ga
0.750 0.750 0.750 Sb
```

Electronic total energy in eV per atom: -4.66

SmScGa: relaxed, GGA-PBE.

Structure (POSCAR):
```
SmScGa
1.0
0.000 3.474 3.474
3.474 0.000 3.474
3.474 3.474 0.000
Sm Sc Ga
1 1 1
direct
0.000 0.000 0.000 Sm
0.250 0.250 0.250 Sc
0.750 0.750 0.750 Ga
```

Electronic total energy in eV per atom: -4.28
Relative energy among the computed polymorphs in eV/atom: 0.640

Sm2ScGa2: relaxed, GGA-PBE.

Structure (POSCAR):
```
Sm2ScGa2
1.0
4.197 -2.461 0.000
4.197 2.461 0.000
-0.123 0.000 6.238
Sm Sc Ga
2 1 2
direct
0.171 0.171 0.171 Sm
0.829 0.829 0.829 Sm
0.500 0.500 0.500 Sc
0.161 0.161 0.667 Ga
0.839 0.839 0.333 Ga
```

Electronic total energy in eV per atom: -4.73

SmScGa: relaxed, GGA-PBE.

Structure (POSCAR):
```
SmScGa
1.0
0.000 3.437 3.437
3.437 0.000 3.437
3.437 3.437 0.000
Sm Sc Ga
1 1 1
direct
0.000 0.000 0.000 Sm
0.500 0.500 0.500 Sc
0.750 0.750 0.750 Ga
```

Electronic total energy in eV per atom: -4.92
Relative energy among the computed polymorphs in eV/atom: 0.000

ScGaTc2: relaxed, GGA-PBE.

Structure (POSCAR):
```
ScGaTc2
1.0
0.000 3.155 3.155
3.155 0.000 3.155
3.155 3.155 0.000
Sc Ga Tc
1 1 2
direct
0.000 0.000 0.000 Sc
0.750 0.750 0.750 Ga
0.250 0.250 0.250 Tc
0.500 0.500 0.500 Tc
```

Electronic total energy in eV per atom: -7.72

ScGa2Tc2: relaxed, GGA-PBE.

Structure (POSCAR):
```
ScGa2Tc2
1.0
-1.914 1.914 5.738
1.914 -1.914 5.738
1.914 1.914 -5.738
Sc Ga Tc
1 2 2
direct
0.000 0.000 0.000 Sc
0.397 0.397 0.000 Ga
0.603 0.603 0.000 Ga
0.250 0.750 0.500 Tc
0.750 0.250 0.500 Tc
```

Electronic total energy in eV per atom: -6.80